First-principles (GGA+U) data for a relaxed NbWO2 crystal, as listed in the Alexandria database.

Output
Polymorph energy (0 for the lowest one): 1.001 eV/atom

Lattice parameters (Å, degrees): 5.722 5.722 5.722 90.00 90.00 90.00
Space group Fm-3m (No. 225)
Symmetry-distinct sites (fractional):
Nb (0.000, 0.000, 0.000) (multiplicity 4)
W (0.000, 0.000, 0.500) (multiplicity 4)
O (0.250, 0.250, 0.250) (multiplicity 8)